1.
This record from the Alexandria database describes an optimized crystal structure of GeMoSe2Br. The functional is GGA-PBE.

The structure belongs to space group P4/mmm (No. 123); the cell edges are 4.971, 4.971 and 5.161 Å and the angles 90.00°, 90.00° and 90.00°. Symmetry generates all atoms from Ge at (0.000, 0.000, 0.000), Mo at (0.500, 0.500, 0.500), Se at (0.000, 0.500, 0.500) and Br at (0.500, 0.500, 0.000).

As for the offset from the most stable computed form: 0 meV/atom. The calculation puts the density of states at the Fermi level at 4.4 states/eV per cell. As for the total energy: -22.45 eV per cell.

***

2.
This record from the Alexandria database describes an optimized crystal structure of BaTl2Si. The functional is GGA-PBE.

The structure belongs to space group C2/m (No. 12); the cell edges are 6.689, 12.149 and 3.720 Å and the angles 90.00°, 122.09° and 90.00°. Symmetry generates all atoms from Ba at (0.000, 0.000, 0.000), Tl at (0.250, 0.250, 0.500) and Si at (0.000, 0.500, 0.000).

As for the offset from the most stable computed form: 246 meV/atom. The calculation puts the density of states at the Fermi level at 6.6 states/eV per cell. As for the total energy: -23.11 eV per cell.

***

3.
This record from the Alexandria database describes an optimized crystal structure of CaCI2. The functional is GGA-PBE.

The structure belongs to space group P1 (No. 1); the cell edges are 4.384, 7.577 and 9.716 Å and the angles 79.48°, 89.91° and 89.38°. Symmetry generates all atoms from Ca at (0.000, 0.000, 0.000), Ca at (0.492, 0.534, 0.993), C at (0.006, 0.714, 0.892), C at (0.907, 0.734, 0.770), I at (0.495, 0.222, 0.809), I at (0.504, 0.804, 0.205), I at (0.762, 0.766, 0.571) and I at (0.996, 0.303, 0.183).

As for the offset from the most stable computed form: 3 meV/atom. The calculation puts the density of states at the Fermi level at 0.0 states/eV per cell. As for the total energy: -34.07 eV per cell.

***

4.
This record from the Alexandria database describes an optimized crystal structure of Bi2CN. The functional is GGA-PBE.

The structure belongs to space group Fm-3m (No. 225); the cell edges are 6.417, 6.417 and 6.417 Å and the angles 90.00°, 90.00° and 90.00°. Symmetry generates all atoms from Bi at (0.250, 0.250, 0.250), C at (0.000, 0.000, 0.000) and N at (0.000, 0.000, 0.500).

As for the offset from the most stable computed form: 507 meV/atom. The calculation puts the density of states at the Fermi level at 12.0 states/eV per cell. As for the total energy: -72.25 eV per cell.

***

5.
This record from the Alexandria database describes an optimized crystal structure of Tb3HgPd12. The functional is GGA-PBE.

The structure belongs to space group P4/mmm (No. 123); the cell edges are 4.108, 4.108 and 16.527 Å and the angles 90.00°, 90.00° and 90.00°. Symmetry generates all atoms from Tb at (0.000, 0.000, 0.000), Tb at (0.000, 0.000, 0.253), Hg at (0.000, 0.000, 0.500), Pd at (0.000, 0.500, 0.126), Pd at (0.000, 0.500, 0.377), Pd at (0.500, 0.500, 0.000), Pd at (0.500, 0.500, 0.251) and Pd at (0.500, 0.500, 0.500).

The calculation puts the density of states at the Fermi level at 14.9 states/eV per cell. As for the total energy: -87.30 eV per cell.

***

6.
This record from the Alexandria database describes an optimized crystal structure of Sr2TlZn4Sn3. The functional is GGA-PBE.

The structure belongs to space group P-4m2 (No. 115); the cell edges are 4.688, 4.688 and 11.476 Å and the angles 90.00°, 90.00° and 90.00°. Symmetry generates all atoms from Sr at (0.000, 0.500, 0.239), Tl at (0.000, 0.000, 0.500), Zn at (0.000, 0.000, 0.000), Zn at (0.000, 0.500, 0.640), Zn at (0.500, 0.500, 0.000), Sn at (0.000, 0.500, 0.871) and Sn at (0.500, 0.500, 0.500).

The calculation puts the density of states at the Fermi level at 2.5 states/eV per cell. As for the total energy: -26.05 eV per cell.